VASP calculation (PBE-GGA) on crystalline Sr2NpPt9 at its relaxed geometry.

ΔH_f (0 K) in eV/atom: -0.62

Lattice parameters (Å, degrees): 9.563 9.563 9.563 33.13 33.13 33.13
Fractional coordinates of all 12 atoms:
Sr: 0.142 0.142 0.142
Sr: 0.858 0.858 0.858
Np: 0.000 0.000 0.000
Pt: 0.081 0.583 0.583
Pt: 0.332 0.332 0.332
Pt: 0.417 0.417 0.919
Pt: 0.417 0.919 0.417
Pt: 0.500 0.500 0.500
Pt: 0.583 0.081 0.583
Pt: 0.583 0.583 0.081
Pt: 0.668 0.668 0.668
Pt: 0.919 0.417 0.417

---

VASP calculation (PBE-GGA) on crystalline NpTaPt at its relaxed geometry.

ΔH_f (0 K) in eV/atom: -0.31

Lattice parameters (Å, degrees): 5.191 5.191 6.883 102.74 102.74 38.22
Fractional coordinates of all 6 atoms:
Np: 0.185 0.185 0.065
Np: 0.815 0.815 0.935
Ta: 0.164 0.164 0.580
Ta: 0.836 0.836 0.420
Pt: 0.480 0.480 0.711
Pt: 0.520 0.520 0.289

---

VASP calculation (PBE-GGA) on crystalline NpTaPt2 at its relaxed geometry.

ΔH_f (0 K) in eV/atom: -0.34

Lattice parameters (Å, degrees): 5.414 5.414 5.414 49.12 49.12 49.12
Fractional coordinates of all 4 atoms:
Np: 0.000 0.000 0.000
Ta: 0.500 0.500 0.500
Pt: 0.213 0.213 0.213
Pt: 0.787 0.787 0.787

---

VASP calculation (PBE-GGA) on crystalline TbNpPt at its relaxed geometry.

ΔH_f (0 K) in eV/atom: -0.51

Lattice parameters (Å, degrees): 3.761 3.996 9.028 90.00 98.73 90.00
Fractional coordinates of all 6 atoms:
Tb: 0.069 0.250 0.192
Tb: 0.931 0.750 0.808
Np: 0.385 0.250 0.556
Np: 0.615 0.750 0.444
Pt: 0.460 0.250 0.888
Pt: 0.540 0.750 0.112

---

VASP calculation (PBE-GGA) on crystalline TbNp2Pt9 at its relaxed geometry.

ΔH_f (0 K) in eV/atom: -0.75

Lattice parameters (Å, degrees): 4.143 4.143 12.450 90.00 90.00 90.00
Fractional coordinates of all 12 atoms:
Tb: 0.000 0.000 0.000
Np: 0.000 0.000 0.332
Np: 0.000 0.000 0.668
Pt: 0.000 0.500 0.168
Pt: 0.000 0.500 0.500
Pt: 0.000 0.500 0.832
Pt: 0.500 0.000 0.168
Pt: 0.500 0.000 0.500
Pt: 0.500 0.000 0.832
Pt: 0.500 0.500 0.000
Pt: 0.500 0.500 0.333
Pt: 0.500 0.500 0.667

---

VASP calculation (PBE-GGA) on crystalline Tb3NpPt12 at its relaxed geometry.

ΔH_f (0 K) in eV/atom: -0.93

Lattice parameters (Å, degrees): 4.136 4.136 16.516 90.00 90.00 90.00
Fractional coordinates of all 16 atoms:
Tb: 0.000 0.000 0.000
Tb: 0.000 0.000 0.248
Tb: 0.000 0.000 0.752
Np: 0.000 0.000 0.500
Pt: 0.000 0.500 0.125
Pt: 0.000 0.500 0.377
Pt: 0.000 0.500 0.623
Pt: 0.000 0.500 0.875
Pt: 0.500 0.000 0.125
Pt: 0.500 0.000 0.377
Pt: 0.500 0.000 0.623
Pt: 0.500 0.000 0.875
Pt: 0.500 0.500 0.000
Pt: 0.500 0.500 0.250
Pt: 0.500 0.500 0.500
Pt: 0.500 0.500 0.750

---

VASP calculation (PBE-GGA) on crystalline TbNpPt6 at its relaxed geometry.

ΔH_f (0 K) in eV/atom: -0.83

Lattice parameters (Å, degrees): 4.142 4.142 8.278 90.00 90.00 90.00
Fractional coordinates of all 8 atoms:
Tb: 0.000 0.000 0.000
Np: 0.000 0.000 0.500
Pt: 0.000 0.500 0.254
Pt: 0.000 0.500 0.746
Pt: 0.500 0.000 0.254
Pt: 0.500 0.000 0.746
Pt: 0.500 0.500 0.000
Pt: 0.500 0.500 0.500

---

VASP calculation (PBE-GGA) on crystalline NpTcPt at its relaxed geometry.

ΔH_f (0 K) in eV/atom: -0.13

Lattice parameters (Å, degrees): 6.011 4.819 7.484 90.00 97.28 90.00
Fractional coordinates of all 12 atoms:
Np: 0.098 0.130 0.312
Np: 0.098 0.370 0.812
Np: 0.902 0.630 0.188
Np: 0.902 0.870 0.688
Tc: 0.395 0.109 0.696
Tc: 0.395 0.391 0.196
Tc: 0.605 0.609 0.804
Tc: 0.605 0.891 0.304
Pt: 0.293 0.641 0.502
Pt: 0.293 0.859 0.002
Pt: 0.707 0.141 0.998
Pt: 0.707 0.359 0.498